(1)
The following is a PBE calculation of a geometry-optimized Sc2TaAl structure, from Alexandria.

Lattice parameters (Å, degrees): 5.3652 5.3652 5.3652 134.18 134.18 66.81
With the nearest neighbours (Å) after each atom.
Element x y z (fractional)
1 Sc 0.0000 0.0000 0.0000  4 Sc 2.95, 4 Ta 3.06, 4 Al 3.06
2 Sc 0.5000 0.5000 0.0000  4 Sc 2.95, 4 Al 3.06, 4 Ta 3.06
3 Al 0.7500 0.2500 0.5000  4 Ta 2.95, 8 Sc 3.06
4 Ta 0.2500 0.7500 0.5000  4 Al 2.95, 8 Sc 3.06

- space-group type = No. 139
- DFT formation energy (eV/atom) = -0.094

(2)
The following is a PBE calculation of a geometry-optimized ScTaAl2 structure, from Alexandria.

Lattice parameters (Å, degrees): 2.9408 4.0822 5.9518 90.00 90.00 90.00
With the nearest neighbours (Å) after each atom.
Element x y z (fractional)
1 Sc 0.5000 0.5000 0.2500  2 Sc 2.94, 2 Ta 2.98, 8 Al 2.98
2 Al 0.0000 0.0000 0.9805  3 Al 2.74-2.94, 4 Ta 2.87, 4 Sc 2.98
3 Al 0.0000 0.0000 0.5195  3 Al 2.74-2.94, 4 Ta 2.87, 4 Sc 2.98
4 Ta 0.5000 0.5000 0.7500  8 Al 2.87, 2 Ta 2.94, 2 Sc 2.98

- space-group type = No. 47
- DFT formation energy (eV/atom) = -0.304

(3)
The following is a PBE calculation of a geometry-optimized ScTa3Al structure, from Alexandria.

Lattice parameters (Å, degrees): 4.7263 4.7263 4.7263 90.00 90.00 90.00
With the nearest neighbours (Å) after each atom.
Element x y z (fractional)
1 Sc 0.0000 0.0000 0.0000  6 Ta 2.36
2 Al 0.5000 0.5000 0.5000  12 Ta 3.34
3 Ta 0.0000 0.5000 0.0000  2 Sc 2.36
4 Ta 0.0000 0.0000 0.5000  2 Sc 2.36
5 Ta 0.5000 0.0000 0.0000  2 Sc 2.36

- E above lowest polymorph (meV/atom) = 739
- space-group type = No. 221
- DFT formation energy (eV/atom) = 1.801

(4)
The following is a PBE calculation of a geometry-optimized Sc2TaAl structure, from Alexandria.

Lattice parameters (Å, degrees): 4.7881 4.7881 4.7881 60.00 60.00 60.00
With the nearest neighbours (Å) after each atom.
Element x y z (fractional)
1 Sc 0.0000 0.0000 0.0000  4 Ta 2.93, 4 Sc 2.93
2 Sc 0.2500 0.2500 0.2500  4 Sc 2.93, 4 Al 2.93
3 Al 0.5000 0.5000 0.5000  4 Ta 2.93, 4 Sc 2.93
4 Ta 0.7500 0.7500 0.7500  4 Al 2.93, 4 Sc 2.93

- space-group type = No. 216
- DFT formation energy (eV/atom) = 0.040

(5)
The following is a PBE calculation of a geometry-optimized Sc2TaAl structure, from Alexandria.

Lattice parameters (Å, degrees): 7.6569 7.6569 6.1091 51.19 51.19 90.00
With the nearest neighbours (Å) after each atom.
Element x y z (fractional)
1 Sc 0.6111 0.1250 0.2500  2 Al 2.73, 2 Sc 2.84, 2 Ta 2.87
2 Sc 0.1389 0.6250 0.2500  2 Al 2.73, 2 Sc 2.84, 2 Ta 2.87
3 Sc 0.3750 0.3889 0.7500  2 Al 2.73, 2 Sc 2.84, 2 Ta 2.87
4 Sc 0.8750 0.8611 0.7500  2 Al 2.73, 2 Sc 2.84, 2 Ta 2.87
5 Al 0.5000 0.5000 0.0000  4 Sc 2.73, 2 Ta 2.83
6 Al 0.2500 0.7500 0.5000  4 Sc 2.73, 2 Ta 2.83
7 Ta 0.0000 0.0000 0.0000  2 Al 2.83, 4 Sc 2.87
8 Ta 0.7500 0.2500 0.5000  2 Al 2.83, 4 Sc 2.87

- space-group type = No. 122
- DFT formation energy (eV/atom) = 0.412

(6)
The following is a PBE calculation of a geometry-optimized ScTaAl2 structure, from Alexandria.

Lattice parameters (Å, degrees): 4.9484 4.9484 5.4733 83.71 83.71 33.94
With the nearest neighbours (Å) after each atom.
Element x y z (fractional)
1 Sc 0.7500 0.7500 0.7500  2 Sc 2.89, 6 Al 2.93-3.06, 4 Ta 3.09
2 Al 0.9962 0.9962 0.0283  3 Ta 2.81-2.89, 4 Al 2.83-2.89, 3 Sc 2.93-3.06
3 Al 0.5038 0.5038 0.4717  3 Ta 2.81-2.89, 4 Al 2.83-2.89, 3 Sc 2.93-3.06
4 Ta 0.2500 0.2500 0.2500  6 Al 2.81-2.89, 2 Ta 2.89, 4 Sc 3.09

- space-group type = No. 12
- DFT formation energy (eV/atom) = -0.130

(7)
The following is a PBE calculation of a geometry-optimized Sc2TaAl structure, from Alexandria.

Lattice parameters (Å, degrees): 5.3701 5.3701 5.2523 79.38 79.38 32.59
With the nearest neighbours (Å) after each atom.
Element x y z (fractional)
1 Sc 0.9832 0.9832 0.0217  3 Al 2.97-3.12, 4 Ta 3.00-3.09, 3 Sc 3.00-3.01
2 Sc 0.7606 0.7606 0.7268  4 Al 2.96-3.11, 3 Ta 2.99-3.07, 3 Sc 3.00-3.01
3 Al 0.2406 0.2406 0.2518  2 Ta 2.86, 7 Sc 2.96-3.12, 2 Al 3.01
4 Ta 0.5157 0.5157 0.4997  2 Al 2.86, 7 Sc 2.99-3.09, 2 Ta 3.01

- space-group type = No. 8
- DFT formation energy (eV/atom) = -0.074

(8)
The following is a PBE calculation of a geometry-optimized ScTaAl4 structure, from Alexandria.

Lattice parameters (Å, degrees): 5.2194 5.2194 5.2194 60.00 60.00 60.00
With the nearest neighbours (Å) after each atom.
Element x y z (fractional)
1 Al 0.1240 0.6253 0.6253  6 Al 2.60-2.62
2 Al 0.6253 0.6253 0.6253  6 Al 2.60-2.62
3 Al 0.6253 0.1240 0.6253  6 Al 2.60-2.62
4 Al 0.6253 0.6253 0.1240  6 Al 2.60-2.62
5 Sc 0.2500 0.2500 0.2500  12 Al 3.06, 4 Ta 3.20
6 Ta 0.0000 0.0000 0.0000  12 Al 3.06, 4 Sc 3.20

- space-group type = No. 216
- DFT formation energy (eV/atom) = -0.346

(9)
The following is a PBE calculation of a geometry-optimized ScTaAl2 structure, from Alexandria.

Lattice parameters (Å, degrees): 4.6471 4.6471 4.6471 60.00 60.00 60.00
With the nearest neighbours (Å) after each atom.
Element x y z (fractional)
1 Sc 0.5000 0.5000 0.5000  4 Ta 2.85, 4 Al 2.85
2 Al 0.0000 0.0000 0.0000  4 Al 2.85, 4 Ta 2.85
3 Al 0.7500 0.7500 0.7500  4 Sc 2.85, 4 Al 2.85
4 Ta 0.2500 0.2500 0.2500  4 Al 2.85, 4 Sc 2.85

- space-group type = No. 216
- DFT formation energy (eV/atom) = 0.125

(10)
The following is a PBE calculation of a geometry-optimized ScTaAl2 structure, from Alexandria.

Lattice parameters (Å, degrees): 9.6473 9.6473 9.6473 18.05 18.05 18.05
With the nearest neighbours (Å) after each atom.
Element x y z (fractional)
1 Sc 0.4992 0.4992 0.4992  3 Ta 3.01, 6 Sc 3.03, 3 Al 3.06
2 Al 0.0001 0.0001 0.0001  9 Al 2.85-3.03, 3 Ta 2.86
3 Al 0.2542 0.2542 0.2542  9 Al 2.85-3.03, 3 Sc 3.06
4 Ta 0.7466 0.7466 0.7466  3 Al 2.86, 3 Sc 3.01, 6 Ta 3.03

- space-group type = No. 160
- DFT formation energy (eV/atom) = 0.021

(11)
The following is a PBE calculation of a geometry-optimized Sc2TaAl structure, from Alexandria.

Lattice parameters (Å, degrees): 5.7818 5.7818 5.7818 147.70 129.78 60.98
With the nearest neighbours (Å) after each atom.
Element x y z (fractional)
1 Sc 0.0068 0.0068 0.0000  2 Al 2.91, 6 Sc 2.94-3.22, 2 Ta 3.02
2 Sc 0.4932 0.4932 0.0000  2 Al 2.91, 6 Sc 2.94-3.22, 2 Ta 3.02
3 Al 0.2500 0.7500 0.5000  4 Sc 2.91, 4 Ta 2.93, 2 Al 3.22
4 Ta 0.7500 0.2500 0.5000  4 Al 2.93, 4 Sc 3.02, 2 Ta 3.22

- space-group type = No. 71
- DFT formation energy (eV/atom) = 0.005

(12)
The following is a PBE calculation of a geometry-optimized ScTa2Al2 structure, from Alexandria.

Lattice parameters (Å, degrees): 8.1183 8.1183 2.8443 90.00 90.00 90.00
With the nearest neighbours (Å) after each atom.
Element x y z (fractional)
1 Sc 0.0000 0.0000 0.0000  2 Sc 2.84
2 Sc 0.5000 0.5000 0.0000  2 Sc 2.84
3 Al 0.1781 0.6781 0.5000  6 Ta 2.75-2.83, 2 Al 2.84
4 Al 0.6781 0.8219 0.5000  6 Ta 2.75-2.83, 2 Al 2.84
5 Al 0.8219 0.3219 0.5000  6 Ta 2.75-2.83, 2 Al 2.84
6 Al 0.3219 0.1781 0.5000  6 Ta 2.75-2.83, 2 Al 2.84
7 Ta 0.3830 0.8830 0.0000  3 Ta 2.69-2.84, 6 Al 2.75-2.83
8 Ta 0.8830 0.6170 0.0000  3 Ta 2.69-2.84, 6 Al 2.75-2.83
9 Ta 0.6170 0.1170 0.0000  3 Ta 2.69-2.84, 6 Al 2.75-2.83
10 Ta 0.1170 0.3830 0.0000  3 Ta 2.69-2.84, 6 Al 2.75-2.83

- E above lowest polymorph (meV/atom) = 101
- space-group type = No. 127
- DFT formation energy (eV/atom) = -0.067

(13)
The following is a PBE calculation of a geometry-optimized Sc2TaAl structure, from Alexandria.

Lattice parameters (Å, degrees): 3.4188 3.4188 7.0328 90.00 90.00 90.00
With the nearest neighbours (Å) after each atom.
Element x y z (fractional)
1 Sc 0.0000 0.0000 0.9627  4 Al 2.94, 1 Ta 3.06
2 Sc 0.5000 0.5000 0.2856  4 Ta 2.95, 1 Al 3.09
3 Al 0.5000 0.5000 0.7247  4 Ta 2.79, 5 Sc 2.94-3.09
4 Ta 0.0000 0.0000 0.5270  4 Al 2.79, 5 Sc 2.95-3.06

- space-group type = No. 99
- DFT formation energy (eV/atom) = -0.017

(14)
The following is a PBE calculation of a geometry-optimized ScTaAl2 structure, from Alexandria.

Lattice parameters (Å, degrees): 9.6587 9.6587 9.6587 17.92 17.92 17.92
With the nearest neighbours (Å) after each atom.
Element x y z (fractional)
1 Sc 0.2500 0.2500 0.2500  6 Sc 3.01, 6 Al 3.03
2 Al 0.0040 0.0040 0.0040  3 Ta 2.85, 6 Al 3.01, 3 Sc 3.03
3 Al 0.4960 0.4960 0.4960  3 Ta 2.85, 6 Al 3.01, 3 Sc 3.03
4 Ta 0.7500 0.7500 0.7500  6 Al 2.85, 6 Ta 3.01

- space-group type = No. 166
- DFT formation energy (eV/atom) = -0.110

| no. | magnetic moment (μB/f.u.) |
| --- | --- |
| 1 | 0.000 |
| 2 | 0.202 |
| 3 | 0.000 |
| 4 | 0.000 |
| 5 | 0.000 |
| 6 | 0.000 |
| 7 | 0.000 |
| 8 | 0.000 |
| 9 | 0.318 |
| 10 | 0.000 |
| 11 | 0.000 |
| 12 | 0.390 |
| 13 | 0.346 |
| 14 | 0.001 |